# 1
VASP calculation (GGA+U) on a relaxed PuVCoO6 crystal.

Cell: 5.1962 5.1962 8.6740 Å, 90.00 90.00 120.00°
Last column: nearest neighbours and their distance in Å.
Fractional coordinates of all 18 atoms:
Pu 0.3333 0.6667 0.2500  6 O 2.09
Pu 0.6667 0.3333 0.7500  6 O 2.09
V 0.3333 0.6667 0.7500  6 O 1.95
V 0.6667 0.3333 0.2500  6 O 1.95
Co 0.0000 0.0000 0.0000  6 O 2.08
Co 0.0000 0.0000 0.5000  6 O 2.08
O 0.0198 0.3471 0.6283  1 V 1.95, 1 Co 2.08, 1 Pu 2.09
O 0.0198 0.6727 0.8717  1 V 1.95, 1 Co 2.08, 1 Pu 2.09
O 0.3273 0.3471 0.8717  1 V 1.95, 1 Co 2.08, 1 Pu 2.09
O 0.3273 0.9802 0.6283  1 V 1.95, 1 Co 2.08, 1 Pu 2.09
O 0.3471 0.0198 0.1283  1 V 1.95, 1 Co 2.08, 1 Pu 2.09
O 0.3471 0.3273 0.3717  1 V 1.95, 1 Co 2.08, 1 Pu 2.09
O 0.6529 0.6727 0.6283  1 V 1.95, 1 Co 2.08, 1 Pu 2.09
O 0.6529 0.9802 0.8717  1 V 1.95, 1 Co 2.08, 1 Pu 2.09
O 0.6727 0.0198 0.3717  1 V 1.95, 1 Co 2.08, 1 Pu 2.09
O 0.6727 0.6529 0.1283  1 V 1.95, 1 Co 2.08, 1 Pu 2.09
O 0.9802 0.3273 0.1283  1 V 1.95, 1 Co 2.08, 1 Pu 2.09
O 0.9802 0.6529 0.3717  1 V 1.95, 1 Co 2.08, 1 Pu 2.09

Results
total moment: 0.444 μB per atom
E_tot: -145.77 eV per cell
N(E_F): 0.513 states/eV/atom

# 2
VASP calculation (GGA+U) on a relaxed YPuCo2O8 crystal.

Cell: 5.8749 5.8749 5.8749 Å, 108.78 108.78 110.86°
Last column: nearest neighbours and their distance in Å.
Fractional coordinates of all 12 atoms:
Y 0.0000 0.0000 0.0000  8 O 2.27-2.43
Pu 0.7500 0.2500 0.5000  4 O 2.05
Co 0.2500 0.7500 0.5000  4 O 1.72
Co 0.5000 0.5000 0.0000  4 O 1.94
O 0.0629 0.3888 0.3259  1 Co 1.72
O 0.0629 0.7370 0.6741  1 Co 1.72
O 0.0937 0.2982 0.7955  1 Co 1.94, 1 Pu 2.05
O 0.2630 0.9371 0.3259  1 Co 1.72
O 0.5028 0.2982 0.2045  1 Co 1.94, 1 Pu 2.05
O 0.6112 0.9371 0.6741  1 Co 1.72
O 0.7018 0.4972 0.7955  1 Co 1.94, 1 Pu 2.05
O 0.7018 0.9063 0.2045  1 Co 1.94, 1 Pu 2.05

Results
total moment: 0.250 μB per atom
E_tot: -92.22 eV per cell
N(E_F): 0.480 states/eV/atom

# 3
VASP calculation (GGA+U) on a relaxed Pu2ZnCoO8 crystal.

Cell: 4.6721 4.6721 6.8978 Å, 90.00 90.00 90.25°
Last column: nearest neighbours and their distance in Å.
Fractional coordinates of all 12 atoms:
Pu 0.0000 0.0000 0.2494  6 O 1.94-2.17
Pu 0.0000 0.0000 0.7506  6 O 1.94-2.17
Zn 0.5000 0.5000 0.5000  6 O 2.01-2.21
Co 0.5000 0.5000 0.0000  6 O 1.99-2.17
O 0.1969 0.8031 0.5000  1 Zn 2.01, 2 Pu 2.17
O 0.1989 0.8011 0.0000  1 Co 1.99, 2 Pu 2.17
O 0.2943 0.2943 0.2465  1 Pu 1.94
O 0.2943 0.2943 0.7535  1 Pu 1.94
O 0.7057 0.7057 0.2465  1 Pu 1.94
O 0.7057 0.7057 0.7535  1 Pu 1.94
O 0.8011 0.1989 0.0000  1 Co 1.99, 2 Pu 2.17
O 0.8031 0.1969 0.5000  1 Zn 2.01, 2 Pu 2.17

Results
total moment: 0.583 μB per atom
E_tot: -99.60 eV per cell
N(E_F): 0.340 states/eV/atom

# 4
VASP calculation (GGA+U) on a relaxed Rb3CoO crystal.

Cell: 5.6863 5.6863 5.6863 Å, 90.00 90.00 90.00°
Last column: nearest neighbours and their distance in Å.
Fractional coordinates of all 5 atoms:
Rb 0.0000 0.0000 0.5000  2 O 2.84
Rb 0.0000 0.5000 0.0000  2 O 2.84
Rb 0.5000 0.0000 0.0000  2 O 2.84
Co 0.5000 0.5000 0.5000  12 Rb 4.02
O 0.0000 0.0000 0.0000  6 Rb 2.84

Results
total moment: 0.400 μB per atom
E_tot: -13.70 eV per cell
N(E_F): 0.067 states/eV/atom

# 5
VASP calculation (GGA+U) on a relaxed RbCo2O crystal.

Cell: 6.2876 6.2876 6.2876 Å, 122.56 122.56 85.62°
Last column: nearest neighbours and their distance in Å.
Fractional coordinates of all 8 atoms:
Rb 0.3750 0.6250 0.7500  12 Co 3.57-3.78, 4 O 3.80, 4 Rb 3.80
Rb 0.6250 0.3750 0.2500  12 Co 3.57-3.78, 4 O 3.80, 4 Rb 3.80
Co 0.0000 0.0000 0.0000  2 O 1.90
Co 0.0000 0.0000 0.5000  2 O 1.90
Co 0.0000 0.5000 0.0000  2 O 1.90
Co 0.5000 0.0000 0.5000  2 O 1.90
O 0.1250 0.8750 0.2500  4 Co 1.90
O 0.8750 0.1250 0.7500  4 Co 1.90

Results
total moment: 0.837 μB per atom
E_tot: -32.78 eV per cell
N(E_F): 0.420 states/eV/atom

# 6
VASP calculation (GGA+U) on a relaxed Rb4Co2O5 crystal.

Cell: 6.0962 6.0962 8.0509 Å, 103.64 103.64 66.92°
Last column: nearest neighbours and their distance in Å.
Fractional coordinates of all 11 atoms:
Rb 0.0000 0.0000 0.0000  4 O 2.72-2.93
Rb 0.2372 0.2372 0.4167  5 O 2.88-3.17
Rb 0.3661 0.3661 0.9668  4 O 2.85-3.00
Rb 0.6185 0.6185 0.7376  6 O 3.00-3.19
Co 0.7672 0.7672 0.1914  3 O 1.75-1.86
Co 0.8972 0.8972 0.5736  3 O 1.76-1.84
O 0.1013 0.6564 0.6799  1 Co 1.76
O 0.4792 0.9254 0.0888  1 Co 1.75
O 0.6564 0.1013 0.6799  1 Co 1.76
O 0.9254 0.4792 0.0888  1 Co 1.75
O 0.9340 0.9340 0.3622  2 Co 1.84-1.86

Results
total moment: 0.727 μB per atom
E_tot: -52.02 eV per cell

# 7
VASP calculation (GGA+U) on a relaxed Rb8Co3O8 crystal.

Cell: 10.6841 10.6841 8.4016 Å, 107.49 107.49 31.07°
Last column: nearest neighbours and their distance in Å.
Fractional coordinates of all 19 atoms:
Rb 0.0300 0.0300 0.2417  5 O 2.91-3.06
Rb 0.1979 0.1979 0.8002  4 O 2.89-3.01
Rb 0.3286 0.3286 0.5344  5 O 2.90-3.00
Rb 0.3937 0.3937 0.0577  4 O 2.79-2.98
Rb 0.6063 0.6063 0.9423  4 O 2.79-2.98
Rb 0.6714 0.6714 0.4656  5 O 2.90-3.00
Rb 0.8021 0.8021 0.1998  4 O 2.89-3.01
Rb 0.9700 0.9700 0.7583  5 O 2.91-3.06
Co 0.1873 0.1873 0.1961  3 O 1.77-1.79
Co 0.5000 0.5000 0.5000  2 O 1.72
Co 0.8127 0.8127 0.8039  3 O 1.77-1.79
O 0.1128 0.1128 0.0158  1 Co 1.79
O 0.1777 0.1777 0.3985  1 Co 1.77
O 0.2702 0.2702 0.1721  1 Co 1.78
O 0.4814 0.4814 0.6856  1 Co 1.72
O 0.5186 0.5186 0.3144  1 Co 1.72
O 0.7298 0.7298 0.8279  1 Co 1.78
O 0.8223 0.8223 0.6015  1 Co 1.77
O 0.8872 0.8872 0.9842  1 Co 1.79

Results
total moment: 0.579 μB per atom
E_tot: -86.09 eV per cell

> Number 5 is which compound?

RbCo2O